DFT (GGA-PBE) results for a relaxed Sm5Tm4In4 crystal.

a b c (Å): 5.0463 9.1173 9.1173
angles (deg): 85.61 73.93 73.93
Last column: nearest neighbours and their distance in Å.
Atoms (fractional coordinates):
Sm 0.6912 0.9087 0.7088  5 In 3.25-3.59, 2 Tm 3.59
Sm 0.3088 0.0913 0.2912  5 In 3.25-3.59, 2 Tm 3.59
Sm 0.0000 0.0000 0.0000  4 In 3.21
Sm 0.6000 0.7088 0.0913  5 In 3.25-3.59, 2 Tm 3.59
Sm 0.4000 0.2912 0.9087  5 In 3.25-3.59, 2 Tm 3.59
Tm 0.9043 0.4931 0.6983  3 In 3.13-3.26, 1 Tm 3.48
Tm 0.6026 0.3017 0.4931  3 In 3.13-3.26, 1 Tm 3.48
Tm 0.0957 0.5069 0.3017  3 In 3.13-3.26, 1 Tm 3.48
Tm 0.3974 0.6983 0.5069  3 In 3.13-3.26, 1 Tm 3.48
In 0.7617 0.3389 0.1377  3 Tm 3.13-3.26, 4 Sm 3.21-3.27
In 0.2383 0.6611 0.8623  3 Tm 3.13-3.26, 4 Sm 3.21-3.27
In 0.8994 0.8623 0.3389  3 Tm 3.13-3.26, 4 Sm 3.21-3.27
In 0.1006 0.1377 0.6611  3 Tm 3.13-3.26, 4 Sm 3.21-3.27

Values from the calculation:
N(E_F) (states/eV per cell): 13.2
V (Å³/f.u.): 387.3
Formation enthalpy at 0 K (meV/atom): -310
Total DFT energy (no corrections) (eV/atom): -4.343
Magnetization (μB/f.u.): 0.00
Space group: I4/m (87)
Calculated density (Mg/m³): 8.089


DFT (GGA-PBE) results for a relaxed SmTm12In6 crystal.

a b c (Å): 8.1138 8.1138 8.1138
angles (deg): 88.77 88.77 88.77
Last column: nearest neighbours and their distance in Å.
Atoms (fractional coordinates):
Sm 0.0000 0.0000 0.0000  6 In 3.27, 6 Tm 3.33
Tm 0.8010 0.5295 0.4376  4 In 3.14-3.35, 4 Tm 3.32-3.43
Tm 0.4376 0.8010 0.5295  4 In 3.14-3.35, 4 Tm 3.32-3.43
Tm 0.5295 0.4376 0.8010  4 In 3.14-3.35, 4 Tm 3.32-3.43
Tm 0.1990 0.4705 0.5624  4 In 3.14-3.35, 4 Tm 3.32-3.43
Tm 0.5624 0.1990 0.4705  4 In 3.14-3.35, 4 Tm 3.32-3.43
Tm 0.4705 0.5624 0.1990  4 In 3.14-3.35, 4 Tm 3.32-3.43
Tm 0.0347 0.1570 0.3737  2 In 3.18-3.35, 4 Tm 3.29-3.38, 1 Sm 3.33
Tm 0.8430 0.6263 0.9653  2 In 3.18-3.35, 4 Tm 3.29-3.38, 1 Sm 3.33
Tm 0.6263 0.9653 0.8430  2 In 3.18-3.35, 4 Tm 3.29-3.38, 1 Sm 3.33
Tm 0.9653 0.8430 0.6263  2 In 3.18-3.35, 4 Tm 3.29-3.38, 1 Sm 3.33
Tm 0.1570 0.3737 0.0347  2 In 3.18-3.35, 4 Tm 3.29-3.38, 1 Sm 3.33
Tm 0.3737 0.0347 0.1570  2 In 3.18-3.35, 4 Tm 3.29-3.38, 1 Sm 3.33
In 0.7177 0.8784 0.2672  6 Tm 3.14-3.35, 1 Sm 3.27, 2 In 3.46
In 0.7328 0.2823 0.1216  6 Tm 3.14-3.35, 1 Sm 3.27, 2 In 3.46
In 0.1216 0.7328 0.2823  6 Tm 3.14-3.35, 1 Sm 3.27, 2 In 3.46
In 0.2823 0.1216 0.7328  6 Tm 3.14-3.35, 1 Sm 3.27, 2 In 3.46
In 0.2672 0.7177 0.8784  6 Tm 3.14-3.35, 1 Sm 3.27, 2 In 3.46
In 0.8784 0.2672 0.7177  6 Tm 3.14-3.35, 1 Sm 3.27, 2 In 3.46

Values from the calculation:
N(E_F) (states/eV per cell): 18.8
V (Å³/f.u.): 533.8
Formation enthalpy at 0 K (meV/atom): -184
Total DFT energy (no corrections) (eV/atom): -4.121
Magnetization (μB/f.u.): 0.00
Space group: R-3 (148)
Calculated density (Mg/m³): 8.917


DFT (GGA-PBE) results for a relaxed Sm5TmIn5 crystal.

a b c (Å): 5.7570 9.4045 6.9919
angles (deg): 111.73 90.00 107.82
Last column: nearest neighbours and their distance in Å.
Atoms (fractional coordinates):
Sm 0.6880 0.3760 0.1890  7 In 3.10-3.31
Sm 0.6397 0.2793 0.6409  6 In 3.48-3.62, 4 Sm 3.59-3.69
Sm 0.0000 0.0000 0.5000  4 In 3.30-3.31, 2 Tm 3.50, 4 Sm 3.69
Sm 0.3603 0.7207 0.3591  6 In 3.48-3.62, 4 Sm 3.59-3.69
Sm 0.3120 0.6240 0.8110  7 In 3.10-3.31
Tm 0.0000 0.0000 0.0000  6 In 2.88-3.11
In 0.8373 0.6747 0.0608  1 Tm 3.10, 1 In 3.13, 4 Sm 3.13-3.31
In 0.8375 0.6749 0.6137  1 Tm 3.11, 1 In 3.13, 4 Sm 3.13-3.30
In 0.5000 0.0000 0.0000  2 Tm 2.88, 2 Sm 3.10
In 0.1625 0.3251 0.3863  1 Tm 3.11, 1 In 3.13, 4 Sm 3.13-3.30
In 0.1627 0.3253 0.9392  1 Tm 3.10, 1 In 3.13, 4 Sm 3.13-3.31

Values from the calculation:
N(E_F) (states/eV per cell): 11.9
V (Å³/f.u.): 332.0
Formation enthalpy at 0 K (meV/atom): -224
Total DFT energy (no corrections) (eV/atom): -4.020
Magnetization (μB/f.u.): 0.00
Space group: C2/m (12)
Calculated density (Mg/m³): 7.476


DFT (GGA-PBE) results for a relaxed SmTm5In2 crystal.

a b c (Å): 5.1504 6.3652 15.7625
angles (deg): 90.00 90.00 113.86
Last column: nearest neighbours and their distance in Å.
Atoms (fractional coordinates):
Sm 0.7405 0.4810 0.7500  4 In 3.14, 3 Tm 3.25-3.43
Sm 0.2595 0.5190 0.2500  4 In 3.14, 3 Tm 3.25-3.43
Tm 0.9571 0.9142 0.8976  1 In 3.19, 7 Tm 3.38-3.53, 1 Sm 3.43
Tm 0.9571 0.9142 0.6024  1 In 3.19, 7 Tm 3.38-3.53, 1 Sm 3.43
Tm 0.3601 0.7202 0.4666  3 In 3.10-3.21, 1 Tm 3.42
Tm 0.3601 0.7202 0.0334  3 In 3.10-3.21, 1 Tm 3.42
Tm 0.5391 0.0781 0.2500  3 Sm 3.25-3.64, 2 In 3.26, 4 Tm 3.47
Tm 0.4609 0.9219 0.7500  3 Sm 3.25-3.64, 2 In 3.26, 4 Tm 3.47
Tm 0.6399 0.2798 0.5334  3 In 3.10-3.21, 1 Tm 3.42
Tm 0.6399 0.2798 0.9666  3 In 3.10-3.21, 1 Tm 3.42
Tm 0.0429 0.0858 0.1024  1 In 3.19, 7 Tm 3.38-3.53, 1 Sm 3.43
Tm 0.0429 0.0858 0.3976  1 In 3.19, 7 Tm 3.38-3.53, 1 Sm 3.43
In 0.7730 0.5461 0.3633  5 Tm 3.10-3.26, 2 Sm 3.14
In 0.7730 0.5461 0.1367  5 Tm 3.10-3.26, 2 Sm 3.14
In 0.2270 0.4539 0.6367  5 Tm 3.10-3.26, 2 Sm 3.14
In 0.2270 0.4539 0.8633  5 Tm 3.10-3.26, 2 Sm 3.14

Values from the calculation:
N(E_F) (states/eV per cell): 18.3
V (Å³/f.u.): 236.3
Formation enthalpy at 0 K (meV/atom): -136
Total DFT energy (no corrections) (eV/atom): -4.205
Magnetization (μB/f.u.): 0.00
Space group: Cmcm (63)
Calculated density (Mg/m³): 8.607


DFT (GGA-PBE) results for a relaxed Sm3Tm3In2 crystal.

a b c (Å): 4.8422 4.8529 9.7716
angles (deg): 90.00 90.00 90.00
Last column: nearest neighbours and their distance in Å.
Atoms (fractional coordinates):
Sm 0.5000 0.0000 0.5000  4 Sm 3.43, 4 Tm 3.46, 4 In 3.46
Sm 0.0000 0.5000 0.0000  4 In 3.42, 8 Tm 3.42-3.43
Sm 0.0000 0.5000 0.5000  4 Sm 3.43, 4 Tm 3.45, 4 In 3.47
Tm 0.5000 0.5000 0.7521  6 Sm 3.42-3.46, 4 In 3.43, 2 Tm 3.43
Tm 0.5000 0.5000 0.2479  6 Sm 3.42-3.46, 4 In 3.43, 2 Tm 3.43
Tm 0.5000 0.0000 0.0000  4 In 3.42, 4 Sm 3.43, 4 Tm 3.43
In 0.0000 0.0000 0.7533  6 Tm 3.42-3.43, 6 Sm 3.42-3.47
In 0.0000 0.0000 0.2467  6 Tm 3.42-3.43, 6 Sm 3.42-3.47

Values from the calculation:
Distance to the lowest polymorph of the same formula (meV per atom): 0
N(E_F) (states/eV per cell): 11.9
V (Å³/f.u.): 229.6
Formation enthalpy at 0 K (meV/atom): -261
Total DFT energy (no corrections) (eV/atom): -4.392
Magnetization (μB/f.u.): 0.07
Space group: Pmmm (47)
Calculated density (Mg/m³): 8.588


DFT (GGA-PBE) results for a relaxed Sm6TmIn crystal.

a b c (Å): 6.6649 6.6649 9.4095
angles (deg): 110.94 110.94 119.78
Last column: nearest neighbours and their distance in Å.
Atoms (fractional coordinates):
Sm 0.1820 0.1820 0.7529  1 In 3.30, 1 Tm 3.32, 6 Sm 3.40-3.47
Sm 0.6804 0.2505 0.2471  1 In 3.31, 1 Tm 3.33, 6 Sm 3.39-3.46
Sm 0.8180 0.8180 0.2471  1 In 3.30, 1 Tm 3.32, 6 Sm 3.40-3.47
Sm 0.7495 0.3196 0.7529  1 In 3.31, 1 Tm 3.33, 6 Sm 3.39-3.46
Sm 0.3196 0.7495 0.7529  1 In 3.31, 1 Tm 3.33, 6 Sm 3.39-3.46
Sm 0.2505 0.6804 0.2471  1 In 3.31, 1 Tm 3.33, 6 Sm 3.39-3.46
Tm 0.5000 0.5000 0.5000  2 In 3.30, 6 Sm 3.32-3.33
In 0.0000 0.0000 0.0000  2 Tm 3.30, 6 Sm 3.30-3.31

Values from the calculation:
Distance to the lowest polymorph of the same formula (meV per atom): 129
N(E_F) (states/eV per cell): 9.9
V (Å³/f.u.): 254.6
Formation enthalpy at 0 K (meV/atom): 10
Total DFT energy (no corrections) (eV/atom): -4.431
Magnetization (μB/f.u.): 0.00
Space group: C2/m (12)
Calculated density (Mg/m³): 7.734


DFT (GGA-PBE) results for a relaxed Sm3Tm4In crystal.

a b c (Å): 6.1614 7.0232 11.1844
angles (deg): 90.00 90.00 90.00
Last column: nearest neighbours and their distance in Å.
Atoms (fractional coordinates):
Sm 0.6266 0.6281 0.0000  5 Tm 3.35-3.51, 4 Sm 3.42-3.52, 2 In 3.47-3.74
Sm 0.9734 0.6164 0.2383  2 In 3.39-3.54, 4 Sm 3.42-3.52, 6 Tm 3.45-3.67
Sm 0.4734 0.3836 0.2617  2 In 3.39-3.54, 4 Sm 3.42-3.52, 6 Tm 3.45-3.67
Sm 0.1266 0.3719 0.5000  5 Tm 3.35-3.51, 4 Sm 3.42-3.52, 2 In 3.47-3.74
Sm 0.4734 0.3836 0.7383  2 In 3.39-3.54, 4 Sm 3.42-3.52, 6 Tm 3.45-3.67
Sm 0.9734 0.6164 0.7617  2 In 3.39-3.54, 4 Sm 3.42-3.52, 6 Tm 3.45-3.67
Tm 0.1650 0.8798 0.0000  3 Sm 3.35-3.45, 6 Tm 3.37-3.64, 2 In 3.38-3.64
Tm 0.6469 0.1281 0.0000  6 Tm 3.42-3.64, 2 In 3.46-3.52, 4 Sm 3.51-3.60
Tm 0.9889 0.1226 0.2408  1 In 3.33, 6 Tm 3.37-3.54, 5 Sm 3.47-3.67
Tm 0.4889 0.8774 0.2592  1 In 3.33, 6 Tm 3.37-3.54, 5 Sm 3.47-3.67
Tm 0.1469 0.8719 0.5000  6 Tm 3.42-3.64, 2 In 3.46-3.52, 4 Sm 3.51-3.60
Tm 0.6650 0.1202 0.5000  3 Sm 3.35-3.45, 6 Tm 3.37-3.64, 2 In 3.38-3.64
Tm 0.4889 0.8774 0.7408  1 In 3.33, 6 Tm 3.37-3.54, 5 Sm 3.47-3.67
Tm 0.9889 0.1226 0.7592  1 In 3.33, 6 Tm 3.37-3.54, 5 Sm 3.47-3.67
In 0.1522 0.3615 0.0000  6 Tm 3.33-3.64, 5 Sm 3.39-3.54
In 0.6522 0.6385 0.5000  6 Tm 3.33-3.64, 5 Sm 3.39-3.54

Values from the calculation:
Distance to the lowest polymorph of the same formula (meV per atom): 0
N(E_F) (states/eV per cell): 16.4
V (Å³/f.u.): 242.0
Formation enthalpy at 0 K (meV/atom): -114
Total DFT energy (no corrections) (eV/atom): -4.462
Magnetization (μB/f.u.): 0.00
Space group: Pmn2_1 (31)
Calculated density (Mg/m³): 8.520


DFT (GGA-PBE) results for a relaxed Sm5TmIn2 crystal.

a b c (Å): 4.9005 6.9523 13.8977
angles (deg): 90.00 90.00 90.00
Last column: nearest neighbours and their distance in Å.
Atoms (fractional coordinates):
Sm 0.0000 0.0000 0.0000  6 Sm 3.46-3.51, 4 In 3.47, 2 Tm 3.48
Sm 0.0000 0.5000 0.5000  6 Sm 3.46-3.51, 4 In 3.47, 2 Tm 3.48
Sm 0.0000 0.5004 0.7526  1 Tm 3.44, 4 In 3.45-3.51, 7 Sm 3.46-3.51
Sm 0.0000 0.4996 0.2474  1 Tm 3.44, 4 In 3.45-3.51, 7 Sm 3.46-3.51
Sm 0.0000 0.9996 0.2526  1 Tm 3.44, 4 In 3.45-3.51, 7 Sm 3.46-3.51
Sm 0.0000 0.0004 0.7474  1 Tm 3.44, 4 In 3.45-3.51, 7 Sm 3.46-3.51
Sm 0.5000 0.2496 0.8762  4 In 3.43-3.51, 6 Sm 3.46-3.49, 2 Tm 3.46
Sm 0.5000 0.7504 0.1238  4 In 3.43-3.51, 6 Sm 3.46-3.49, 2 Tm 3.46
Sm 0.5000 0.2504 0.3762  4 In 3.43-3.51, 6 Sm 3.46-3.49, 2 Tm 3.46
Sm 0.5000 0.7496 0.6238  4 In 3.43-3.51, 6 Sm 3.46-3.49, 2 Tm 3.46
Tm 0.0000 0.0000 0.5000  8 Sm 3.44-3.48, 4 In 3.45
Tm 0.0000 0.5000 0.0000  8 Sm 3.44-3.48, 4 In 3.45
In 0.5000 0.2469 0.6233  10 Sm 3.43-3.51, 2 Tm 3.45
In 0.5000 0.7531 0.3767  10 Sm 3.43-3.51, 2 Tm 3.45
In 0.5000 0.2531 0.1233  10 Sm 3.43-3.51, 2 Tm 3.45
In 0.5000 0.7469 0.8767  10 Sm 3.43-3.51, 2 Tm 3.45

Values from the calculation:
Distance to the lowest polymorph of the same formula (meV per atom): 0
N(E_F) (states/eV per cell): 23.2
V (Å³/f.u.): 236.7
Formation enthalpy at 0 K (meV/atom): -270
Total DFT energy (no corrections) (eV/atom): -4.463
Magnetization (μB/f.u.): 0.00
Space group: Pbam (55)
Calculated density (Mg/m³): 8.069


DFT (GGA-PBE) results for a relaxed SmTmIn6 crystal.

a b c (Å): 5.3211 6.6178 6.6178
angles (deg): 119.99 90.00 90.00
Last column: nearest neighbours and their distance in Å.
Atoms (fractional coordinates):
Sm 0.5000 0.4165 0.5835  12 In 3.31-3.32
Tm 0.0000 0.0833 0.9167  12 In 3.30-3.31
In 0.0000 0.0695 0.4097  8 In 3.17-3.45, 2 Tm 3.31, 2 Sm 3.32
In 0.0000 0.5903 0.9305  8 In 3.17-3.45, 2 Tm 3.31, 2 Sm 3.32
In 0.0000 0.5902 0.4098  8 In 3.17-3.45, 2 Tm 3.31, 2 Sm 3.32
In 0.5000 0.4230 0.0867  8 In 3.24-3.37, 2 Tm 3.30, 2 Sm 3.31
In 0.5000 0.9133 0.5770  8 In 3.24-3.37, 2 Tm 3.30, 2 Sm 3.31
In 0.5000 0.9135 0.0865  8 In 3.24-3.37, 2 Tm 3.30, 2 Sm 3.31

Values from the calculation:
Distance to the lowest polymorph of the same formula (meV per atom): 64
N(E_F) (states/eV per cell): 3.6
V (Å³/f.u.): 201.8
Formation enthalpy at 0 K (meV/atom): -348
Total DFT energy (no corrections) (eV/atom): -3.551
Magnetization (μB/f.u.): 0.00
Space group: P-6m2 (187)
Calculated density (Mg/m³): 8.295


DFT (GGA-PBE) results for a relaxed Sm3Tm4In crystal.

a b c (Å): 4.8941 4.9194 10.6211
angles (deg): 103.40 103.32 90.00
Last column: nearest neighbours and their distance in Å.
Atoms (fractional coordinates):
Tm 0.7528 0.2529 0.5056  8 Tm 3.47-3.56, 4 Sm 3.50-3.57
Tm 0.2472 0.7471 0.4944  8 Tm 3.47-3.56, 4 Sm 3.50-3.57
Tm 0.3754 0.3755 0.7507  6 Sm 3.47-3.50, 4 Tm 3.47-3.56, 2 In 3.51
Tm 0.6246 0.6245 0.2493  6 Sm 3.47-3.50, 4 Tm 3.47-3.56, 2 In 3.51
Sm 0.0000 0.5000 0.0000  4 In 3.47, 4 Sm 3.49, 4 Tm 3.50
Sm 0.8765 0.8767 0.7530  8 Tm 3.47-3.57, 2 In 3.48, 2 Sm 3.49
Sm 0.1235 0.1233 0.2470  8 Tm 3.47-3.57, 2 In 3.48, 2 Sm 3.49
In 0.5000 0.0000 0.0000  8 Sm 3.47-3.48, 4 Tm 3.51

Values from the calculation:
Distance to the lowest polymorph of the same formula (meV per atom): 8
N(E_F) (states/eV per cell): 11.3
V (Å³/f.u.): 241.7
Formation enthalpy at 0 K (meV/atom): -106
Total DFT energy (no corrections) (eV/atom): -4.454
Magnetization (μB/f.u.): 0.00
Space group: Immm (71)
Calculated density (Mg/m³): 8.531